## SmSbNO (PBE-GGA)

Data for an optimized crystal structure of SmSbNO.

Lattice parameters (Å, degrees): 3.917 6.389 6.420 90.00 90.00 90.00
Element x y z (fractional)
Sm  0.000  0.199  0.000
Sm  0.000  0.801  0.500
Sb  0.500  0.324  0.418
Sb  0.500  0.676  0.918
N  0.500  0.396  0.085
N  0.500  0.604  0.585
O  0.000  0.079  0.689
O  0.000  0.921  0.189

Calculated values
Space-group type ... No. 26
Calculated volume ... 20.08 Å³/atom
E_tot ... -53.5 eV for the cell shown
Spin magnetization ... 0.0 μB/f.u.
Crystal system ... orthorhombic

---

## SmSbNO (PBE-GGA)

Data for an optimized crystal structure of SmSbNO.

Lattice parameters (Å, degrees): 4.948 4.948 5.147 90.00 90.00 90.00
Element x y z (fractional)
Sm  0.250  0.750  0.000
Sm  0.750  0.250  0.000
Sb  0.250  0.250  0.499
Sb  0.750  0.750  0.501
N  0.250  0.250  0.897
N  0.750  0.750  0.103
O  0.250  0.750  0.500
O  0.750  0.250  0.500

Calculated values
Space-group type ... No. 129
Calculated volume ... 15.75 Å³/atom
E_tot ... -52.6 eV for the cell shown
Spin magnetization ... 0.0 μB/f.u.
Crystal system ... tetragonal

---

## TmSbNO (PBE-GGA)

Data for an optimized crystal structure of TmSbNO.

Lattice parameters (Å, degrees): 3.739 6.413 6.281 90.00 90.00 90.00
Element x y z (fractional)
Tm  0.000  0.188  0.000
Tm  0.000  0.812  0.500
Sb  0.500  0.331  0.584
Sb  0.500  0.669  0.084
N  0.500  0.378  0.931
N  0.500  0.622  0.431
O  0.000  0.064  0.300
O  0.000  0.936  0.800

Calculated values
Space-group type ... No. 26
Calculated volume ... 18.82 Å³/atom
E_tot ... -54.1 eV for the cell shown
Spin magnetization ... 0.0 μB/f.u.
Crystal system ... orthorhombic

---

## TmSbNO (PBE-GGA)

Data for an optimized crystal structure of TmSbNO.

Lattice parameters (Å, degrees): 4.439 4.439 7.292 90.00 90.00 90.00
Element x y z (fractional)
Tm  0.250  0.250  0.102
Tm  0.750  0.750  0.898
Sb  0.250  0.750  0.500
Sb  0.750  0.250  0.500
N  0.250  0.250  0.403
N  0.750  0.750  0.597
O  0.250  0.750  0.000
O  0.750  0.250  0.000

Calculated values
Space-group type ... No. 129
Calculated volume ... 17.96 Å³/atom
E_tot ... -53.0 eV for the cell shown
Spin magnetization ... 0.0 μB/f.u.
Crystal system ... tetragonal

---

Q: The lowest calculated volume belongs to which entry?
A: number 2